(1)
# GGA-PBE GaNiRh2C, optimized geometry
data_GaNiRh2C
_chemical_formula_sum 'Ga1 Ni1 Rh2 C1'
_space_group_name_H-M_alt 'P 1'
_space_group_IT_number 1
_space_group_name_Hall 'P 1'
_cell_length_a 4.535
_cell_length_b 4.535
_cell_length_c 4.274
_cell_angle_alpha 90.00
_cell_angle_beta 90.00
_cell_angle_gamma 90.00
loop_
_atom_site_label
_atom_site_type_symbol
_atom_site_fract_x
_atom_site_fract_y
_atom_site_fract_z
Ga1 Ga 0.000 0.000 0.000
Ni1 Ni 0.000 0.000 0.500
Rh1 Rh 0.000 0.500 0.000
Rh2 Rh 0.500 0.000 0.000
C1 C 0.500 0.500 0.500
# DOS(E_F) = 4.81 states/eV/f.u.
# Calculated formation energy = 197 kJ/mol of atoms
# Calculated density = 6.5 g/cm3
# Size of the total moment = 1.0 μB per cell

=====

(2)
# GGA-PBE U3BiC2, optimized geometry
data_U3BiC2
_chemical_formula_sum 'U6 Bi2 C4'
_space_group_name_H-M_alt 'P 1'
_space_group_IT_number 1
_space_group_name_Hall 'P 1'
_cell_length_a 7.235
_cell_length_b 7.235
_cell_length_c 8.643
_cell_angle_alpha 90.00
_cell_angle_beta 90.00
_cell_angle_gamma 147.26
loop_
_atom_site_label
_atom_site_type_symbol
_atom_site_fract_x
_atom_site_fract_y
_atom_site_fract_z
U1 U 0.074 0.926 0.750
U2 U 0.396 0.604 0.543
U3 U 0.396 0.604 0.957
U4 U 0.604 0.396 0.043
U5 U 0.604 0.396 0.457
U6 U 0.926 0.074 0.250
Bi1 Bi 0.237 0.763 0.250
Bi2 Bi 0.763 0.237 0.750
C1 C 0.000 0.000 0.000
C2 C 0.000 0.000 0.500
C3 C 0.499 0.501 0.250
C4 C 0.501 0.499 0.750
# DOS(E_F) = 9.23 states/eV/f.u.
# Calculated formation energy = -1 kJ/mol of atoms
# Calculated density = 12.9 g/cm3
# Size of the total moment = 13.9 μB per cell

=====

(3)
# GGA-PBE ZnAsIr2, optimized geometry
data_ZnAsIr2
_chemical_formula_sum 'Zn1 As1 Ir2'
_space_group_name_H-M_alt 'P 1'
_space_group_IT_number 1
_space_group_name_Hall 'P 1'
_cell_length_a 2.769
_cell_length_b 2.769
_cell_length_c 10.275
_cell_angle_alpha 90.00
_cell_angle_beta 90.00
_cell_angle_gamma 120.16
loop_
_atom_site_label
_atom_site_type_symbol
_atom_site_fract_x
_atom_site_fract_y
_atom_site_fract_z
Zn1 Zn 0.000 0.000 0.000
As1 As 0.500 0.500 0.343
Ir1 Ir 0.000 0.000 0.554
Ir2 Ir 0.500 0.500 0.781
# DOS(E_F) = 2.95 states/eV/f.u.
# Calculated formation energy = 22 kJ/mol of atoms
# Calculated density = 12.8 g/cm3
# Relative energy among the computed polymorphs = 0.2468 eV per atom
# Size of the total moment = 0.0 μB per cell

=====

(4)
# GGA-PBE Pr4HgPd, optimized geometry
data_Pr4HgPd
_chemical_formula_sum 'Pr8 Hg2 Pd2'
_space_group_name_H-M_alt 'P 1'
_space_group_IT_number 1
_space_group_name_Hall 'P 1'
_cell_length_a 7.442
_cell_length_b 7.530
_cell_length_c 7.284
_cell_angle_alpha 90.00
_cell_angle_beta 94.23
_cell_angle_gamma 90.00
loop_
_atom_site_label
_atom_site_type_symbol
_atom_site_fract_x
_atom_site_fract_y
_atom_site_fract_z
Pr1 Pr 0.150 0.159 0.176
Pr2 Pr 0.150 0.341 0.676
Pr3 Pr 0.334 0.649 0.122
Pr4 Pr 0.334 0.851 0.622
Pr5 Pr 0.666 0.149 0.378
Pr6 Pr 0.666 0.351 0.878
Pr7 Pr 0.850 0.659 0.324
Pr8 Pr 0.850 0.841 0.824
Hg1 Hg 0.500 0.000 0.000
Hg2 Hg 0.500 0.500 0.500
Pd1 Pd 0.000 0.000 0.500
Pd2 Pd 0.000 0.500 0.000
# DOS(E_F) = 9.16 states/eV/f.u.
# Calculated formation energy = -24 kJ/mol of atoms
# Calculated density = 7.1 g/cm3
# Relative energy among the computed polymorphs = 0.1835 eV per atom
# Size of the total moment = 0.0 μB per cell

=====

(5)
# GGA-PBE ZnHPd2, optimized geometry
data_ZnHPd2
_chemical_formula_sum 'Zn2 H2 Pd4'
_space_group_name_H-M_alt 'P 1'
_space_group_IT_number 1
_space_group_name_Hall 'P 1'
_cell_length_a 5.036
_cell_length_b 5.036
_cell_length_c 5.036
_cell_angle_alpha 107.89
_cell_angle_beta 107.89
_cell_angle_gamma 112.69
loop_
_atom_site_label
_atom_site_type_symbol
_atom_site_fract_x
_atom_site_fract_y
_atom_site_fract_z
Zn1 Zn 0.000 0.000 0.000
Zn2 Zn 0.750 0.250 0.500
H1 H 0.250 0.750 0.500
H2 H 0.500 0.500 0.000
Pd1 Pd 0.220 0.625 0.095
Pd2 Pd 0.375 0.470 0.595
Pd3 Pd 0.530 0.125 0.905
Pd4 Pd 0.875 0.780 0.405
# DOS(E_F) = 1.98 states/eV/f.u.
# Calculated density = 9.5 g/cm3
# Relative energy among the computed polymorphs = 0.0560 eV per atom
# Size of the total moment = 0.0 μB per cell

=====

(6)
# GGA-PBE Na5Cd3Ag3, optimized geometry
data_Na5Cd3Ag3
_chemical_formula_sum 'Na5 Cd3 Ag3'
_space_group_name_H-M_alt 'P 1'
_space_group_IT_number 1
_space_group_name_Hall 'P 1'
_cell_length_a 10.295
_cell_length_b 10.295
_cell_length_c 3.074
_cell_angle_alpha 90.00
_cell_angle_beta 90.00
_cell_angle_gamma 120.00
loop_
_atom_site_label
_atom_site_type_symbol
_atom_site_fract_x
_atom_site_fract_y
_atom_site_fract_z
Na1 Na 0.000 0.345 0.000
Na2 Na 0.333 0.667 0.000
Na3 Na 0.345 0.000 0.000
Na4 Na 0.655 0.655 0.000
Na5 Na 0.667 0.333 0.000
Cd1 Cd 0.000 0.834 0.000
Cd2 Cd 0.166 0.166 0.000
Cd3 Cd 0.834 0.000 0.000
Ag1 Ag 0.000 0.599 0.500
Ag2 Ag 0.401 0.401 0.500
Ag3 Ag 0.599 0.000 0.500
# DOS(E_F) = 3.04 states/eV/f.u.
# Calculated formation energy = 2 kJ/mol of atoms
# Calculated density = 4.6 g/cm3
# Size of the total moment = 0.0 μB per cell

=====

(7)
# GGA-PBE Tb6Ho2Er3Zr, optimized geometry
data_Tb6Ho2Er3Zr
_chemical_formula_sum 'Tb6 Ho2 Er3 Zr1'
_space_group_name_H-M_alt 'P 1'
_space_group_IT_number 1
_space_group_name_Hall 'P 1'
_cell_length_a 6.069
_cell_length_b 6.069
_cell_length_c 11.602
_cell_angle_alpha 94.96
_cell_angle_beta 94.96
_cell_angle_gamma 119.91
loop_
_atom_site_label
_atom_site_type_symbol
_atom_site_fract_x
_atom_site_fract_y
_atom_site_fract_z
Tb1 Tb 0.082 0.409 0.746
Tb2 Tb 0.245 0.245 0.255
Tb3 Tb 0.409 0.082 0.746
Tb4 Tb 0.591 0.918 0.254
Tb5 Tb 0.755 0.755 0.745
Tb6 Tb 0.918 0.591 0.254
Ho1 Ho 0.333 0.667 0.500
Ho2 Ho 0.667 0.333 0.500
Er1 Er 0.166 0.834 0.000
Er2 Er 0.500 0.500 0.000
Er3 Er 0.834 0.166 0.000
Zr1 Zr 0.000 0.000 0.500
# DOS(E_F) = 14.85 states/eV/f.u.
# Calculated formation energy = 4 kJ/mol of atoms
# Calculated density = 8.5 g/cm3
# Size of the total moment = 0.0 μB per cell

=====

(8)
# GGA-PBE EuGdTmSc, optimized geometry
data_EuGdTmSc
_chemical_formula_sum 'Eu1 Gd1 Tm1 Sc1'
_space_group_name_H-M_alt 'P 1'
_space_group_IT_number 1
_space_group_name_Hall 'P 1'
_cell_length_a 5.593
_cell_length_b 5.593
_cell_length_c 5.593
_cell_angle_alpha 60.00
_cell_angle_beta 60.00
_cell_angle_gamma 60.00
loop_
_atom_site_label
_atom_site_type_symbol
_atom_site_fract_x
_atom_site_fract_y
_atom_site_fract_z
Eu1 Eu 0.000 0.000 0.000
Gd1 Gd 0.500 0.500 0.500
Tm1 Tm 0.250 0.250 0.250
Sc1 Sc 0.750 0.750 0.750
# DOS(E_F) = 6.55 states/eV/f.u.
# Calculated formation energy = 15 kJ/mol of atoms
# Calculated density = 7.0 g/cm3
# Size of the total moment = 0.5 μB per cell

=====

(9)
# GGA-PBE NaLa3Pr3Se8, optimized geometry
data_NaLa3Pr3Se8
_chemical_formula_sum 'Na1 La3 Pr3 Se8'
_space_group_name_H-M_alt 'P 1'
_space_group_IT_number 1
_space_group_name_Hall 'P 1'
_cell_length_a 8.542
_cell_length_b 8.542
_cell_length_c 8.542
_cell_angle_alpha 59.92
_cell_angle_beta 59.92
_cell_angle_gamma 59.92
loop_
_atom_site_label
_atom_site_type_symbol
_atom_site_fract_x
_atom_site_fract_y
_atom_site_fract_z
Na1 Na 0.000 0.000 0.000
La1 La 0.000 0.000 0.500
La2 La 0.000 0.500 0.000
La3 La 0.500 0.000 0.000
Pr1 Pr 0.000 0.500 0.500
Pr2 Pr 0.500 0.000 0.500
Pr3 Pr 0.500 0.500 0.000
Se1 Se 0.250 0.250 0.749
Se2 Se 0.250 0.749 0.250
Se3 Se 0.251 0.251 0.251
Se4 Se 0.251 0.750 0.750
Se5 Se 0.749 0.250 0.250
Se6 Se 0.749 0.749 0.749
Se7 Se 0.750 0.251 0.750
Se8 Se 0.750 0.750 0.251
# DOS(E_F) = 4.78 states/eV/f.u.
# Calculated density = 5.6 g/cm3
# E_form (uncorrected) = -1869 meV per atom
# Size of the total moment = 0.0 μB per cell

=====

(10)
# GGA-PBE Tb2Pr6Tl, optimized geometry
data_Tb2Pr6Tl
_chemical_formula_sum 'Tb2 Pr6 Tl1'
_space_group_name_H-M_alt 'P 1'
_space_group_IT_number 1
_space_group_name_Hall 'P 1'
_cell_length_a 10.008
_cell_length_b 10.008
_cell_length_c 3.492
_cell_angle_alpha 90.23
_cell_angle_beta 90.23
_cell_angle_gamma 59.39
loop_
_atom_site_label
_atom_site_type_symbol
_atom_site_fract_x
_atom_site_fract_y
_atom_site_fract_z
Tb1 Tb 0.167 0.167 0.000
Tb2 Tb 0.833 0.833 0.000
Pr1 Pr 0.170 0.502 0.505
Pr2 Pr 0.177 0.823 0.500
Pr3 Pr 0.498 0.830 0.495
Pr4 Pr 0.502 0.170 0.505
Pr5 Pr 0.823 0.177 0.500
Pr6 Pr 0.830 0.498 0.495
Tl1 Tl 0.500 0.500 0.000
# DOS(E_F) = 15.36 states/eV/f.u.
# Calculated formation energy = 2 kJ/mol of atoms
# Calculated density = 7.5 g/cm3
# Size of the total moment = 0.0 μB per cell

=====

(11)
# GGA-PBE GdBe3Ir, optimized geometry
data_GdBe3Ir
_chemical_formula_sum 'Gd1 Be3 Ir1'
_space_group_name_H-M_alt 'P 1'
_space_group_IT_number 1
_space_group_name_Hall 'P 1'
_cell_length_a 4.282
_cell_length_b 4.282
_cell_length_c 4.282
_cell_angle_alpha 90.00
_cell_angle_beta 90.00
_cell_angle_gamma 90.00
loop_
_atom_site_label
_atom_site_type_symbol
_atom_site_fract_x
_atom_site_fract_y
_atom_site_fract_z
Gd1 Gd 0.000 0.000 0.000
Be1 Be 0.000 0.500 0.500
Be2 Be 0.500 0.000 0.500
Be3 Be 0.500 0.500 0.000
Ir1 Ir 0.500 0.500 0.500
# DOS(E_F) = 1.50 states/eV/f.u.
# Calculated formation energy = -30 kJ/mol of atoms
# Calculated density = 8.0 g/cm3
# Size of the total moment = 7.2 μB per cell

=====

(12)
# GGA-PBE Dy8ZnCo2, optimized geometry
data_Dy8ZnCo2
_chemical_formula_sum 'Dy8 Zn1 Co2'
_space_group_name_H-M_alt 'P 1'
_space_group_IT_number 1
_space_group_name_Hall 'P 1'
_cell_length_a 7.734
_cell_length_b 7.734
_cell_length_c 5.373
_cell_angle_alpha 97.56
_cell_angle_beta 97.56
_cell_angle_gamma 113.57
loop_
_atom_site_label
_atom_site_type_symbol
_atom_site_fract_x
_atom_site_fract_y
_atom_site_fract_z
Dy1 Dy 0.000 0.000 0.000
Dy2 Dy 0.050 0.311 0.617
Dy3 Dy 0.137 0.625 0.195
Dy4 Dy 0.311 0.050 0.617
Dy5 Dy 0.450 0.712 0.773
Dy6 Dy 0.625 0.137 0.195
Dy7 Dy 0.712 0.450 0.773
Dy8 Dy 0.761 0.761 0.390
Zn1 Zn 0.381 0.381 0.194
Co1 Co 0.076 0.686 0.695
Co2 Co 0.686 0.076 0.695
# DOS(E_F) = 12.46 states/eV/f.u.
# Calculated formation energy = -5 kJ/mol of atoms
# Calculated density = 8.6 g/cm3
# Relative energy among the computed polymorphs = 0.0712 eV per atom
# Size of the total moment = 0.0 μB per cell

=====

Question: Which value of size of the total moment does entry 7 give?
Answer: 0.0 μB per cell

=====

What did the twelfth record say?
# GGA-PBE Dy8ZnCo2, optimized geometry
data_Dy8ZnCo2
_chemical_formula_sum 'Dy8 Zn1 Co2'
_space_group_name_H-M_alt 'P 1'
_space_group_IT_number 1
_space_group_name_Hall 'P 1'
_cell_length_a 7.734
_cell_length_b 7.734
_cell_length_c 5.373
_cell_angle_alpha 97.56
_cell_angle_beta 97.56
_cell_angle_gamma 113.57
loop_
_atom_site_label
_atom_site_type_symbol
_atom_site_fract_x
_atom_site_fract_y
_atom_site_fract_z
Dy1 Dy 0.000 0.000 0.000
Dy2 Dy 0.050 0.311 0.617
Dy3 Dy 0.137 0.625 0.195
Dy4 Dy 0.311 0.050 0.617
Dy5 Dy 0.450 0.712 0.773
Dy6 Dy 0.625 0.137 0.195
Dy7 Dy 0.712 0.450 0.773
Dy8 Dy 0.761 0.761 0.390
Zn1 Zn 0.381 0.381 0.194
Co1 Co 0.076 0.686 0.695
Co2 Co 0.686 0.076 0.695
# DOS(E_F) = 12.46 states/eV/f.u.
# Calculated formation energy = -5 kJ/mol of atoms
# Calculated density = 8.6 g/cm3
# Relative energy among the computed polymorphs = 0.0712 eV per atom
# Size of the total moment = 0.0 μB per cell

=====

Please write out number 2 again, unchanged.
# GGA-PBE U3BiC2, optimized geometry
data_U3BiC2
_chemical_formula_sum 'U6 Bi2 C4'
_space_group_name_H-M_alt 'P 1'
_space_group_IT_number 1
_space_group_name_Hall 'P 1'
_cell_length_a 7.235
_cell_length_b 7.235
_cell_length_c 8.643
_cell_angle_alpha 90.00
_cell_angle_beta 90.00
_cell_angle_gamma 147.26
loop_
_atom_site_label
_atom_site_type_symbol
_atom_site_fract_x
_atom_site_fract_y
_atom_site_fract_z
U1 U 0.074 0.926 0.750
U2 U 0.396 0.604 0.543
U3 U 0.396 0.604 0.957
U4 U 0.604 0.396 0.043
U5 U 0.604 0.396 0.457
U6 U 0.926 0.074 0.250
Bi1 Bi 0.237 0.763 0.250
Bi2 Bi 0.763 0.237 0.750
C1 C 0.000 0.000 0.000
C2 C 0.000 0.000 0.500
C3 C 0.499 0.501 0.250
C4 C 0.501 0.499 0.750
# DOS(E_F) = 9.23 states/eV/f.u.
# Calculated formation energy = -1 kJ/mol of atoms
# Calculated density = 12.9 g/cm3
# Size of the total moment = 13.9 μB per cell